1.
A plane-wave DFT calculation with GGA-PBE was carried out for a geometry-optimized ZrScP2Cl structure.

Properties
Energy relative to the lowest polymorph listed for this composition: 0.000 eV/atom
Calculated volume: 122.6 Å³/cell

The structure in CIF format:
```
data_ZrScP2Cl
_chemical_formula_sum 'Zr1 Sc1 P2 Cl1'
_cell_length_a 5.057
_cell_length_b 5.057
_cell_length_c 4.791
_cell_angle_alpha 90.00
_cell_angle_beta 90.00
_cell_angle_gamma 90.00
_space_group_name_H-M_alt 'P 4/m m m'
_space_group_IT_number 123
_space_group_name_Hall '-P 4 2'
loop_
_atom_site_label
_atom_site_type_symbol
_atom_site_fract_x
_atom_site_fract_y
_atom_site_fract_z
_atom_site_occupancy
Zr1 Zr 0.000 0.000 0.000 1
Sc1 Sc 0.500 0.500 0.500 1
P1 P 0.000 0.500 0.000 1
Cl1 Cl 0.000 0.000 0.500 1
```



2.
A plane-wave DFT calculation with GGA-PBE was carried out for a geometry-optimized ZrScPCl2 structure.

Properties
Energy relative to the lowest polymorph listed for this composition: 0.053 eV/atom
Calculated volume: 119.1 Å³/cell

The structure in CIF format:
```
data_ZrScPCl2
_chemical_formula_sum 'Zr1 Sc1 P1 Cl2'
_cell_length_a 4.713
_cell_length_b 4.713
_cell_length_c 5.359
_cell_angle_alpha 90.00
_cell_angle_beta 90.00
_cell_angle_gamma 90.00
_space_group_name_H-M_alt 'P 4/m m m'
_space_group_IT_number 123
_space_group_name_Hall '-P 4 2'
loop_
_atom_site_label
_atom_site_type_symbol
_atom_site_fract_x
_atom_site_fract_y
_atom_site_fract_z
_atom_site_occupancy
Zr1 Zr 0.000 0.000 0.000 1
Sc1 Sc 0.500 0.500 0.500 1
P1 P 0.500 0.500 0.000 1
Cl1 Cl 0.000 0.500 0.500 1
```



3.
A plane-wave DFT calculation with GGA-PBE was carried out for a geometry-optimized ZrScP2Cl structure.

Properties
Energy relative to the lowest polymorph listed for this composition: 0.183 eV/atom
Calculated volume: 112.7 Å³/cell

The structure in CIF format:
```
data_ZrScP2Cl
_chemical_formula_sum 'Zr1 Sc1 P2 Cl1'
_cell_length_a 4.958
_cell_length_b 4.958
_cell_length_c 4.585
_cell_angle_alpha 90.00
_cell_angle_beta 90.00
_cell_angle_gamma 90.00
_space_group_name_H-M_alt 'P 4/m m m'
_space_group_IT_number 123
_space_group_name_Hall '-P 4 2'
loop_
_atom_site_label
_atom_site_type_symbol
_atom_site_fract_x
_atom_site_fract_y
_atom_site_fract_z
_atom_site_occupancy
Zr1 Zr 0.000 0.000 0.000 1
Sc1 Sc 0.500 0.500 0.500 1
P1 P 0.000 0.500 0.500 1
Cl1 Cl 0.500 0.500 0.000 1
```



4.
A plane-wave DFT calculation with GGA-PBE was carried out for a geometry-optimized ZrScPCl2 structure.

Properties
Energy relative to the lowest polymorph listed for this composition: 0.000 eV/atom
Calculated volume: 125.6 Å³/cell

The structure in CIF format:
```
data_ZrScPCl2
_chemical_formula_sum 'Zr1 Sc1 P1 Cl2'
_cell_length_a 4.890
_cell_length_b 4.890
_cell_length_c 5.254
_cell_angle_alpha 90.00
_cell_angle_beta 90.00
_cell_angle_gamma 90.00
_space_group_name_H-M_alt 'P 4/m m m'
_space_group_IT_number 123
_space_group_name_Hall '-P 4 2'
loop_
_atom_site_label
_atom_site_type_symbol
_atom_site_fract_x
_atom_site_fract_y
_atom_site_fract_z
_atom_site_occupancy
Zr1 Zr 0.000 0.000 0.000 1
Sc1 Sc 0.500 0.500 0.500 1
P1 P 0.000 0.000 0.500 1
Cl1 Cl 0.000 0.500 0.000 1
```



- Which value of energy relative to the lowest polymorph listed for this composition does entry 3 give?
  0.183 eV/atom